# MnRuNO | Alexandria via LeMat-Bulk | GGA+U | relaxed
data_MnRuNO
_chemical_formula_sum 'Mn1 Ru1 N1 O1'
_symmetry_space_group_name_H-M 'P 1'
_symmetry_Int_Tables_number 1
_cell_length_a 3.141
_cell_length_b 3.141
_cell_length_c 5.870
_cell_angle_alpha 90.00
_cell_angle_beta 90.00
_cell_angle_gamma 120.00
loop_
_symmetry_equiv_pos_as_xyz
'x,y,z'
loop_
_atom_site_label
_atom_site_type_symbol
_atom_site_fract_x
_atom_site_fract_y
_atom_site_fract_z
_atom_site_occupancy
Ru1 Ru 0.000 0.000 0.204 1
N1 N 0.000 0.000 0.878 1
O1 O 0.667 0.333 0.389 1
Mn1 Mn 0.667 0.333 0.746 1
# - D(E_F) (states/eV per atom) = 0.77
# - volume (Å³ per cell) = 50.2
# - M_tot (Bohr magnetons per cell) = 4.2
# - electronic total energy (Ha/atom) = -0.2786